Entry 1:
Compound: Ba14SrRh
Source: Alexandria
Functional: PBE-GGA
Structure: optimized geometry Values from VASP.

Structure (Quantum ESPRESSO input):
```
&SYSTEM
  ibrav = 0, nat = 16, ntyp = 3
/
ATOMIC_SPECIES
Ba 137.33 Ba.upf
Rh 102.91 Rh.upf
Sr 87.62 Sr.upf
ATOMIC_POSITIONS crystal
Ba 0.4481 0.1868 0.6851
Ba 0.1092 0.8908 0.0000
Ba 0.3413 0.6587 0.2378
Ba 0.3413 0.6587 0.7622
Ba 0.1292 0.3875 0.5000
Ba 0.8132 0.5519 0.6851
Ba 0.4481 0.1868 0.3149
Ba 0.6230 0.9359 0.0000
Ba 0.0641 0.3770 0.0000
Ba 0.5812 0.4188 0.0000
Ba 0.8944 0.1056 0.2822
Ba 0.8132 0.5519 0.3149
Ba 0.8944 0.1056 0.7178
Ba 0.6125 0.8708 0.5000
Rh 0.7599 0.2401 0.5000
Sr 0.1268 0.8732 0.5000
CELL_PARAMETERS angstrom
-2.9242 0.4239 -8.4745
-5.3880 -6.1454 3.7081
-7.7882 8.7129 3.1233
```

The calculated formation energy comes out at 30 meV per atom. Its total energy is -35.47 eV/cell.

***

Entry 2:
Compound: BaSr3Rh
Source: Alexandria
Functional: PBE-GGA
Structure: optimized geometry Values from VASP.

Structure (Quantum ESPRESSO input):
```
&SYSTEM
  ibrav = 0, nat = 10, ntyp = 3
/
ATOMIC_SPECIES
Sr 87.62 Sr.upf
Rh 102.91 Rh.upf
Ba 137.33 Ba.upf
ATOMIC_POSITIONS crystal
Sr 0.0129 0.7733 0.0239
Sr 0.9871 0.2267 0.5239
Sr 0.4618 0.0296 0.7500
Sr 0.0129 0.7733 0.4761
Sr 0.9871 0.2267 0.9761
Sr 0.5382 0.9704 0.2500
Rh 0.0550 0.0521 0.2500
Rh 0.9450 0.9479 0.7500
Ba 0.4699 0.4307 0.2500
Ba 0.5301 0.5693 0.7500
CELL_PARAMETERS angstrom
-4.7577 0.7378 -3.3859
4.6116 -3.5215 -6.0407
-3.0545 -8.2711 2.4898
```

The polymorph energy (0 for the lowest one) comes out at 0.050 eV per atom. The calculated formation energy comes out at -135 meV per atom. Its total energy is -29.99 eV/cell.

***

Entry 3:
Compound: Ba6Sr2Rh
Source: Alexandria
Functional: PBE-GGA
Structure: optimized geometry Values from VASP.

Structure (Quantum ESPRESSO input):
```
&SYSTEM
  ibrav = 0, nat = 18, ntyp = 3
/
ATOMIC_SPECIES
Ba 137.33 Ba.upf
Sr 87.62 Sr.upf
Rh 102.91 Rh.upf
ATOMIC_POSITIONS crystal
Ba 0.5000 0.5000 0.7572
Ba 0.0000 0.0000 0.7428
Ba 0.7420 0.7420 0.0001
Ba 0.2578 0.7416 0.9999
Ba 0.2580 0.2580 0.9999
Ba 0.5000 0.5000 0.2428
Ba 0.2422 0.2416 0.5001
Ba 0.0000 0.0000 0.2572
Ba 0.7580 0.2420 0.4999
Ba 0.2420 0.7580 0.5001
Ba 0.7422 0.2584 0.0001
Ba 0.7578 0.7584 0.4999
Sr 0.5005 0.0000 0.7503
Sr 0.9995 0.5000 0.7497
Sr 0.0005 0.5000 0.2503
Sr 0.4995 0.0000 0.2497
Rh 0.5000 0.5000 0.0000
Rh 0.0000 0.0000 0.5000
CELL_PARAMETERS angstrom
-3.6064 3.0671 -7.6091
6.8227 -3.5043 -4.6462
-6.4265 -10.7834 -1.3038
```

The calculated formation energy comes out at -117 meV per atom. Its total energy is -46.61 eV/cell.

***

Entry 4:
Compound: BaSrRh
Source: Alexandria
Functional: PBE-GGA
Structure: optimized geometry Values from VASP.

Structure (Quantum ESPRESSO input):
```
&SYSTEM
  ibrav = 0, nat = 3, ntyp = 3
/
ATOMIC_SPECIES
Rh 102.91 Rh.upf
Ba 137.33 Ba.upf
Sr 87.62 Sr.upf
ATOMIC_POSITIONS crystal
Rh 0.6667 0.3333 0.3388
Ba 0.0000 0.0000 0.1067
Sr 0.3333 0.6667 0.5545
CELL_PARAMETERS angstrom
4.4663 0.0000 0.0000
-2.2332 3.8680 0.0000
0.0000 0.0000 7.0890
```

The polymorph energy (0 for the lowest one) comes out at 0.057 eV per atom. The calculated formation energy comes out at -120 meV per atom. Its total energy is -11.32 eV/cell.

***

Entry 5:
Compound: BaSr3Rh2
Source: Alexandria
Functional: PBE-GGA
Structure: optimized geometry Values from VASP.

Structure (Quantum ESPRESSO input):
```
&SYSTEM
  ibrav = 0, nat = 12, ntyp = 3
/
ATOMIC_SPECIES
Sr 87.62 Sr.upf
Ba 137.33 Ba.upf
Rh 102.91 Rh.upf
ATOMIC_POSITIONS crystal
Sr 0.1653 0.9266 0.7427
Sr 0.5946 0.7610 0.0498
Sr 0.4058 0.7483 0.4400
Sr 0.8347 0.0734 0.2573
Sr 0.5942 0.2517 0.5600
Sr 0.4054 0.2390 0.9502
Ba 0.8418 0.5691 0.7473
Ba 0.1582 0.4309 0.2527
Rh 0.2396 0.5593 0.9614
Rh 0.2386 0.0600 0.4628
Rh 0.7614 0.9400 0.5372
Rh 0.7604 0.4407 0.0386
CELL_PARAMETERS angstrom
4.3865 0.0000 0.8840
1.8088 9.1631 2.3495
-0.0543 0.2474 11.5940
```

The calculated formation energy comes out at -185 meV per atom. Its total energy is -45.56 eV/cell.

***

Entry 6:
Compound: BaSrRh3
Source: Alexandria
Functional: PBE-GGA
Structure: optimized geometry Values from VASP.

Structure (Quantum ESPRESSO input):
```
&SYSTEM
  ibrav = 0, nat = 5, ntyp = 3
/
ATOMIC_SPECIES
Rh 102.91 Rh.upf
Sr 87.62 Sr.upf
Ba 137.33 Ba.upf
ATOMIC_POSITIONS crystal
Rh 0.5000 0.0000 0.0000
Rh 0.0000 0.0000 0.5000
Rh 0.0000 0.5000 0.0000
Sr 0.5000 0.5000 0.5000
Ba 0.0000 0.0000 0.0000
CELL_PARAMETERS angstrom
-0.9530 -1.2862 -4.9242
3.4119 -3.8788 0.3528
-3.7764 -3.1798 1.5614
```

The polymorph energy (0 for the lowest one) comes out at 0.062 eV per atom. The calculated formation energy comes out at 980 meV per atom. Its total energy is -20.76 eV/cell.

***

no.,size of the total moment (μB/f.u.)
1,0.00
2,0.00
3,0.00
4,0.00
5,0.00
6,0.52